This record from Alexandria via LeMat-Bulk describes a geometry-optimized TlVBF6 structure. The functional is PBE with a Hubbard U.

Raw total energy ... -5.335 eV/atom
Symmetry ... C2
Volume ... 15.1 Å³/atom

a = 5.125 Å, b = 5.125 Å, c = 5.986 Å
α = 90.02°, β = 90.02°, γ = 119.88°
Atoms (fractional coordinates):
Tl 0.000 0.000 0.000
V 0.333 0.667 0.500
B 0.667 0.333 0.500
F 0.408 0.067 0.659
F 0.408 0.341 0.342
F 0.659 0.067 0.341
F 0.659 0.592 0.658
F 0.933 0.341 0.659
F 0.933 0.592 0.341



This record from Alexandria via LeMat-Bulk describes a geometry-optimized TlVB2F8 structure. The functional is PBE with a Hubbard U.

Raw total energy ... -5.600 eV/atom
Symmetry ... R-3
Volume ... 16.4 Å³/atom

a = 8.758 Å, b = 8.758 Å, c = 8.758 Å
α = 34.91°, β = 34.91°, γ = 34.91°
Atoms (fractional coordinates):
Tl 0.000 0.000 0.000
V 0.500 0.500 0.500
B 0.236 0.236 0.236
B 0.764 0.764 0.764
F 0.063 0.729 0.561
F 0.271 0.439 0.937
F 0.292 0.292 0.292
F 0.439 0.937 0.271
F 0.561 0.063 0.729
F 0.708 0.708 0.708
F 0.729 0.561 0.063
F 0.937 0.271 0.439